Entry from the Alexandria database: an optimized crystal structure of NpPaBi2 (GGA-PBE).

Cell: 4.534 4.534 7.695 Å, 72.87 72.87 60.00°
Last column: magnetic moment on the atom in μB.
Sites, in units of the cell vectors:
1 Np 0.500 0.500 0.500  4.10
2 Pa 0.000 0.000 0.000  0.96
3 Bi 0.251 0.251 0.248  -0.07
4 Bi 0.749 0.749 0.752  -0.07

## Properties
total energy = -7.533 eV/atom
spin magnetization = 1.37 μB per atom
space-group type = No. 166

Entry from the Alexandria database: an optimized crystal structure of Ho2CdInPd4 (GGA-PBE).

Cell: 4.769 4.769 8.332 Å, 73.37 73.37 60.00°
Sites, in units of the cell vectors:
1 Ho 0.749 0.749 0.754
2 Ho 0.251 0.251 0.246
3 Cd 0.000 0.000 0.000
4 In 0.500 0.500 0.500
5 Pd 0.376 0.376 0.871
6 Pd 0.873 0.873 0.380
7 Pd 0.127 0.127 0.620
8 Pd 0.624 0.624 0.129

## Properties
total energy = -4.980 eV/atom
spin magnetization = 0.00 μB per atom
space-group type = No. 166